This record from Alexandria describes DyTmSc2S6 after structural relaxation. The functional is PBE-GGA.

Computed properties:
Symmetry = R3, No. 146
VASP energy = -6.6141 eV/atom
Calculated volume = 23.0 Å³/atom

a = 6.674 Å, b = 6.674 Å, c = 7.102 Å
α = 61.98°, β = 61.98°, γ = 60.00°
Element x y z (fractional)
S 0.234 0.896 0.245
S 0.624 0.234 0.245
S 0.734 0.131 0.746
S 0.896 0.624 0.245
S 0.390 0.733 0.746
Sc 0.012 0.012 0.965
Dy 0.813 0.813 0.562
Tm 0.315 0.315 0.055
Sc 0.513 0.513 0.461
S 0.131 0.390 0.746

This record from Alexandria describes Dy4Tm3ScS8 after structural relaxation. The functional is PBE-GGA.

Computed properties:
Symmetry = R-3m, No. 166
VASP energy = -6.3946 eV/atom
Calculated volume = 20.3 Å³/atom

a = 7.701 Å, b = 7.730 Å, c = 7.701 Å
α = 119.88°, β = 120.00°, γ = 90.00°
Element x y z (fractional)
S 0.755 0.260 0.004
S 0.249 0.260 0.004
Sc 0.000 0.500 0.000
Dy 0.000 0.000 0.000
S 0.755 0.260 0.511
Tm 0.500 0.500 0.500
S 0.748 0.744 0.496
S 0.751 0.740 0.996
Dy 0.000 0.000 0.500
S 0.245 0.740 0.996
S 0.245 0.740 0.489
Dy 0.500 0.000 0.000
Tm 0.000 0.500 0.500
Dy 0.500 0.000 0.500
S 0.252 0.256 0.504
Tm 0.500 0.500 0.000

This record from Alexandria describes DyTm2ScS4 after structural relaxation. The functional is PBE-GGA.

Computed properties:
Symmetry = P2/m, No. 10
VASP energy = -6.4674 eV/atom
Calculated volume = 19.8 Å³/atom

a = 3.798 Å, b = 6.649 Å, c = 6.636 Å
α = 109.14°, β = 90.00°, γ = 90.00°
Element x y z (fractional)
S 0.500 0.242 0.246
Sc 0.000 0.000 0.000
S 0.000 0.757 0.251
S 0.500 0.758 0.754
Dy 0.500 0.500 0.000
S 0.000 0.243 0.749
Tm 0.500 0.000 0.500
Tm 0.000 0.500 0.500

This record from Alexandria describes Dy3Tm2ScS6 after structural relaxation. The functional is PBE-GGA.

Computed properties:
Symmetry = C2/m, No. 12
VASP energy = -6.4344 eV/atom
Calculated volume = 20.2 Å³/atom

a = 3.841 Å, b = 7.735 Å, c = 8.609 Å
α = 103.35°, β = 102.89°, γ = 90.00°
Element x y z (fractional)
S 0.000 0.240 0.001
Dy 0.500 0.500 0.000
Sc 0.500 0.000 0.000
Tm 0.166 0.331 0.331
Dy 0.167 0.835 0.335
S 0.662 0.085 0.325
S 0.338 0.915 0.675
S 0.668 0.580 0.336
Tm 0.834 0.669 0.669
Dy 0.833 0.165 0.665
S 0.332 0.420 0.664
S 0.000 0.760 0.999

This record from Alexandria describes Dy3TmSc3S8 after structural relaxation. The functional is PBE-GGA.

Computed properties:
Symmetry = R-3m, No. 166
VASP energy = -6.6734 eV/atom
Calculated volume = 20.6 Å³/atom

a = 7.559 Å, b = 7.559 Å, c = 7.627 Å
α = 119.71°, β = 90.00°, γ = 120.00°
Element x y z (fractional)
S 0.263 0.010 0.258
Tm 0.000 0.000 0.500
Dy 0.000 0.500 0.000
S 0.748 0.496 0.258
S 0.252 0.504 0.742
S 0.252 0.990 0.742
Dy 0.500 0.500 0.000
S 0.745 0.490 0.735
S 0.255 0.510 0.265
Sc 0.000 0.500 0.500
S 0.737 0.990 0.742
S 0.748 0.010 0.258
Sc 0.500 0.500 0.500
Sc 0.500 0.000 0.500
Dy 0.000 0.000 0.000

This record from Alexandria describes DyTm2ScS6 after structural relaxation. The functional is PBE-GGA.

Computed properties:
Symmetry = R3, No. 146
VASP energy = -6.4724 eV/atom
Calculated volume = 23.9 Å³/atom

a = 6.751 Å, b = 6.751 Å, c = 7.208 Å
α = 62.07°, β = 62.07°, γ = 59.99°
Element x y z (fractional)
Sc 0.320 0.320 0.041
S 0.413 0.712 0.757
Tm 0.015 0.015 0.956
S 0.219 0.932 0.249
S 0.712 0.119 0.757
S 0.600 0.219 0.249
S 0.932 0.600 0.249
Tm 0.518 0.518 0.447
Dy 0.815 0.815 0.554
S 0.119 0.413 0.757

This record from Alexandria describes Dy4TmSc3S8 after structural relaxation. The functional is PBE-GGA.

Computed properties:
Symmetry = R-3m, No. 166
VASP energy = -6.6064 eV/atom
Calculated volume = 19.7 Å³/atom

a = 7.633 Å, b = 7.652 Å, c = 7.633 Å
α = 119.92°, β = 120.00°, γ = 90.00°
Element x y z (fractional)
Dy 0.000 0.000 0.500
S 0.752 0.263 0.011
S 0.741 0.737 0.989
Tm 0.000 0.500 0.000
Dy 0.500 0.000 0.500
S 0.248 0.737 0.496
Sc 0.500 0.500 0.000
S 0.259 0.263 0.011
S 0.752 0.263 0.504
Dy 0.000 0.000 0.000
Dy 0.500 0.000 0.000
S 0.248 0.737 0.989
S 0.255 0.266 0.511
S 0.745 0.734 0.489
Sc 0.000 0.500 0.500
Sc 0.500 0.500 0.500

This record from Alexandria describes DySc2US4 after structural relaxation. The functional is PBE-GGA.

Computed properties:
Symmetry = P2/m, No. 10
VASP energy = -7.3859 eV/atom
Calculated volume = 19.3 Å³/atom

a = 3.756 Å, b = 6.583 Å, c = 6.597 Å
α = 108.99°, β = 90.00°, γ = 90.00°
Element x y z (fractional)
S 0.500 0.744 0.733
S 0.000 0.245 0.734
S 0.500 0.256 0.267
Dy 0.500 0.500 0.000
S 0.000 0.755 0.266
U 0.000 0.000 0.000
Sc 0.500 0.000 0.500
Sc 0.000 0.500 0.500